i:
A plane-wave DFT calculation with meta-GGA SCAN was carried out for a crystal of Cs2RbAg2 relaxed with PBEsol.

Geometry as POSCAR:
```
Cs2RbAg2
1.0
-4.0253 -1.5369 -1.8440
5.1094 -5.2629 -6.7670
0.1484 -7.8222 6.1957
Ag Cs Rb
4 4 2
Cartesian
4.4187 -9.5686 -1.6706
3.3653 -4.6489 -3.4716
0.8391 -3.5165 1.0993
1.8925 -8.4363 2.9003
-1.1920 -6.5374 2.0947
1.3948 -10.8588 0.0498
-0.1623 -3.7633 -2.4651
2.4244 -8.0847 -4.5100
2.6289 -6.5426 -0.2857
0.0000 0.0000 0.0000
```

***

ii:
A plane-wave DFT calculation with meta-GGA SCAN was carried out for a crystal of Cs2RbAg2 relaxed with PBEsol.

Geometry as POSCAR:
```
Cs2RbAg2
1.0
-1.2935 -3.8939 -3.7264
3.9496 1.9227 -3.3802
3.6875 -3.7249 6.7344
Cs Rb Ag
2 1 2
Cartesian
1.8610 -4.3022 -0.2727
4.4826 -1.3939 -0.0995
0.0000 0.0000 0.0000
2.2280 -1.8308 -2.9825
4.1156 -3.8653 2.6103
```

***

Verdict on stability: i comes out on top.